Entry 1:
SrTm3Ru: relaxed, GGA-PBE.

Computed properties:
E_form: -0.171 eV/atom
E: -0.185 hartree per atom

Geometry as CIF:
```
data_SrTm3Ru
_chemical_formula_sum 'Sr1 Tm3 Ru1'
_cell_length_a 5.4138
_cell_length_b 5.4138
_cell_length_c 5.4138
_cell_angle_alpha 90.00
_cell_angle_beta 90.00
_cell_angle_gamma 90.00
_symmetry_space_group_name_H-M 'P m -3 m'
_symmetry_Int_Tables_number 221
_symmetry_space_group_name_Hall '-P 4 2 3'
loop_
_atom_site_label
_atom_site_type_symbol
_atom_site_fract_x
_atom_site_fract_y
_atom_site_fract_z
_atom_site_occupancy
Sr1 Sr 0.0000 0.0000 0.0000 1
Tm1 Tm 0.0000 0.5000 0.5000 1
Ru1 Ru 0.5000 0.5000 0.5000 1
```

Entry 2:
SrV3Ru: relaxed, GGA-PBE.

Computed properties:
Excess energy over the best structure of this formula in the dataset: 0 meV/atom
E_form: 0.737 eV/atom
E: -0.255 hartree per atom

Geometry as CIF:
```
data_SrV3Ru
_chemical_formula_sum 'Sr1 V3 Ru1'
_cell_length_a 4.7954
_cell_length_b 4.7954
_cell_length_c 4.7954
_cell_angle_alpha 90.00
_cell_angle_beta 90.00
_cell_angle_gamma 90.00
_symmetry_space_group_name_H-M 'P m -3 m'
_symmetry_Int_Tables_number 221
_symmetry_space_group_name_Hall '-P 4 2 3'
loop_
_atom_site_label
_atom_site_type_symbol
_atom_site_fract_x
_atom_site_fract_y
_atom_site_fract_z
_atom_site_occupancy
Sr1 Sr 0.0000 0.0000 0.0000 1
V1 V 0.0000 0.5000 0.5000 1
Ru1 Ru 0.5000 0.5000 0.5000 1
```

> What is the E in the first record?

-0.185 hartree per atom